1.
VASP calculation (GGA-PBE) on Na2PuO2F2 after structural relaxation.

Cell and atoms, written as POSCAR:
```
Na2PuO2F2
1.0
4.326 0.000 0.000
0.000 4.326 0.000
-2.163 -2.163 6.128
Na F Pu O
2 2 1 2
direct
0.637 0.637 0.274
0.363 0.363 0.726
0.185 0.185 0.370
0.815 0.815 0.630
0.000 0.000 0.000
0.500 0.000 0.000
0.000 0.500 0.000
```

Properties
- Fermi-level density of states: 3.914 states/eV per cell
- Formation energy from raw total energies: -2.705 eV/atom
- Final energy: -7.080 eV per atom


2.
VASP calculation (GGA-PBE) on CaZnSi2 after structural relaxation.

Cell and atoms, written as POSCAR:
```
CaZnSi2
1.0
-0.410 -3.392 2.733
2.232 -0.890 3.657
-3.219 1.755 4.453
Zn Ca Si
1 1 2
direct
0.478 0.478 0.590
0.255 0.255 0.250
0.739 0.739 0.757
0.027 0.027 0.903
```

Properties
- Fermi-level density of states: 1.646 states/eV per cell
- Formation energy from raw total energies: -0.082 eV/atom
- Final energy: -3.612 eV per atom